This record from Alexandria describes a relaxed Pm6NdEr2 crystal. The functional is GGA-PBE.

Calculated values
Mass density = 6.28 g/cm3
Formation energy from the elements = 0.626 eV per atom
Space group = P4_2/mnm, No. 136
Relative energy among the computed polymorphs = 609.6 meV/atom

abc: 8.253 8.253 10.476
angles: 90.00 90.00 90.00
Element x y z (fractional)
Er 0.000 0.000 0.335
Er 0.500 0.500 0.835
Er 0.500 0.500 0.165
Er 0.000 0.000 0.665
Pm 0.762 0.238 0.500
Pm 0.738 0.738 0.000
Pm 0.739 0.739 0.666
Pm 0.239 0.761 0.166
Pm 0.238 0.762 0.500
Pm 0.761 0.239 0.834
Pm 0.261 0.261 0.334
Pm 0.739 0.739 0.334
Pm 0.262 0.262 0.000
Pm 0.261 0.261 0.666
Pm 0.761 0.239 0.166
Pm 0.239 0.761 0.834
Nd 0.500 0.500 0.500
Nd 0.000 0.000 0.000

This record from Alexandria describes a relaxed Dy3MnPt12 crystal. The functional is GGA-PBE.

Calculated values
Mass density = 17.69 g/cm3
Formation energy from the elements = -0.849 eV per atom
Space group = P4/mmm, No. 123

abc: 4.085 4.085 16.222
angles: 90.00 90.00 90.00
Last column: magnetic moment on the atom in μB.
Element x y z (fractional)
Mn 0.000 0.000 0.000  3.85
Pt 0.500 0.500 0.757  -0.01
Pt 0.500 0.500 0.500  -0.02
Pt 0.500 0.000 0.372  -0.01
Pt 0.500 0.500 0.000  0.07
Pt 0.000 0.500 0.372  -0.01
Pt 0.500 0.000 0.115  0.08
Pt 0.500 0.500 0.243  -0.01
Pt 0.500 0.000 0.885  0.08
Pt 0.000 0.500 0.885  0.08
Pt 0.500 0.000 0.628  -0.01
Pt 0.000 0.500 0.115  0.08
Pt 0.000 0.500 0.628  -0.01
Dy 0.000 0.000 0.500  -0.01
Dy 0.000 0.000 0.245  -0.01
Dy 0.000 0.000 0.755  -0.01

This record from Alexandria describes a relaxed Ho8Ir2Ru crystal. The functional is GGA-PBE.

Calculated values
Mass density = 11.01 g/cm3
Formation energy from the elements = -0.485 eV per atom
Space group = C2/m, No. 12
Relative energy among the computed polymorphs = 0.0 meV/atom

abc: 4.851 6.822 8.943
angles: 106.55 105.74 90.00
Element x y z (fractional)
Ho 0.203 0.310 0.406
Ho 0.405 0.547 0.809
Ho 0.667 0.963 0.334
Ho 0.031 0.793 0.062
Ho 0.797 0.690 0.594
Ho 0.969 0.207 0.938
Ho 0.595 0.453 0.191
Ho 0.333 0.037 0.666
Ru 0.500 0.000 0.000
Ir 0.187 0.702 0.373
Ir 0.813 0.298 0.627

This record from Alexandria describes a relaxed PrAuI6 crystal. The functional is GGA-PBE.

Calculated values
Total energy = -2.820 eV per atom
Mass density = 4.57 g/cm3
Space group = P-1, No. 2

abc: 9.579 10.505 7.992
angles: 58.56 58.66 36.46
Element x y z (fractional)
I 0.889 0.474 0.328
I 0.268 0.924 0.138
I 0.393 0.773 0.708
I 0.732 0.076 0.862
I 0.607 0.227 0.292
I 0.111 0.526 0.672
Au 0.000 0.000 0.000
Pr 0.500 0.500 0.500

This record from Alexandria describes a relaxed NdAgGeAu crystal. The functional is GGA-PBE.

Calculated values
Mass density = 10.08 g/cm3
Formation energy from the elements = -0.448 eV per atom
Space group = F-43m, No. 216

abc: 4.954 4.954 4.954
angles: 60.00 60.00 60.00
Element x y z (fractional)
Nd 0.000 0.000 0.000
Ge 0.250 0.250 0.250
Ag 0.500 0.500 0.500
Au 0.750 0.750 0.750

This record from Alexandria describes a relaxed SmTmNiPt crystal. The functional is GGA-PBE.

Calculated values
Mass density = 11.03 g/cm3
Formation energy from the elements = -0.843 eV per atom
Space group = Amm2, No. 38

abc: 3.847 4.391 5.456
angles: 90.00 110.64 90.00
Element x y z (fractional)
Sm 0.143 0.000 0.286
Tm 0.862 0.500 0.724
Pt 0.575 0.500 0.150
Ni 0.420 0.000 0.840

This record from Alexandria describes a relaxed CuPd2Pb crystal. The functional is GGA-PBE.

Calculated values
Mass density = 11.92 g/cm3
Formation energy from the elements = -0.142 eV per atom
Space group = P4/mmm, No. 123

abc: 4.026 4.091 4.091
angles: 90.00 90.00 90.00
Element x y z (fractional)
Pd 0.000 0.000 0.500
Pd 0.000 0.500 0.000
Cu 0.500 0.000 0.000
Pb 0.500 0.500 0.500

This record from Alexandria describes a relaxed Nd3Ni2Ge4 crystal. The functional is GGA-PBE.

Calculated values
Mass density = 7.33 g/cm3
Formation energy from the elements = -0.769 eV per atom
Space group = C2/m, No. 12
Relative energy among the computed polymorphs = 0.0 meV/atom

abc: 4.197 5.930 8.322
angles: 99.68 90.00 110.73
Element x y z (fractional)
Nd 0.662 0.324 0.661
Nd 0.000 0.000 0.000
Nd 0.338 0.676 0.339
Ge 0.060 0.120 0.380
Ge 0.719 0.437 0.071
Ge 0.940 0.880 0.620
Ge 0.281 0.563 0.929
Ni 0.394 0.788 0.719
Ni 0.606 0.212 0.281

This record from Alexandria describes a relaxed Ba5CuO6 crystal. The functional is GGA-PBE.

Calculated values
Total energy = -5.634 eV per atom
Mass density = 5.63 g/cm3
Space group = C2/m, No. 12

abc: 6.677 6.601 6.742
angles: 60.69 82.35 74.22
Last column: magnetic moment on the atom in μB.
Element x y z (fractional)
Ba 0.000 0.326 0.348  0.00
Ba 0.500 0.841 0.318  0.01
Ba 0.000 0.674 0.652  0.00
Ba 0.500 0.500 0.000  0.00
Ba 0.500 0.159 0.682  0.01
O 0.835 0.806 0.000  0.11
O 0.284 0.892 0.644  0.09
O 0.716 0.464 0.644  0.09
O 0.284 0.536 0.356  0.09
O 0.716 0.108 0.356  0.09
O 0.165 0.194 0.000  0.11
Cu 0.000 0.000 0.000  0.42

This record from Alexandria describes a relaxed Pm8HgGe2 crystal. The functional is GGA-PBE.

Calculated values
Mass density = 7.60 g/cm3
Formation energy from the elements = -0.346 eV per atom
Space group = C2/m, No. 12

abc: 4.952 7.051 9.990
angles: 102.80 104.35 90.00
Element x y z (fractional)
Ge 0.815 0.249 0.629
Ge 0.185 0.751 0.371
Pm 0.593 0.476 0.187
Pm 0.028 0.762 0.057
Pm 0.407 0.524 0.813
Pm 0.335 0.010 0.671
Pm 0.210 0.335 0.420
Pm 0.790 0.665 0.580
Pm 0.665 0.990 0.329
Pm 0.972 0.238 0.943
Hg 0.500 0.000 0.000

This record from Alexandria describes a relaxed AcCdGe2Pd2 crystal. The functional is GGA-PBE.

Calculated values
Mass density = 9.15 g/cm3
Formation energy from the elements = -0.610 eV per atom
Space group = P-3m1, No. 164

abc: 4.445 4.445 7.400
angles: 90.00 90.00 120.00
Element x y z (fractional)
Ge 0.667 0.333 0.278
Ge 0.333 0.667 0.722
Pd 0.333 0.667 0.336
Pd 0.667 0.333 0.664
Ac 0.000 0.000 0.000
Cd 0.000 0.000 0.500

This record from Alexandria describes a relaxed DyHI2 crystal. The functional is GGA-PBE.

Calculated values
Total energy = -3.954 eV per atom
Mass density = 6.06 g/cm3
Space group = Cm, No. 8

abc: 4.000 4.000 8.549
angles: 77.02 77.02 59.99
Element x y z (fractional)
Dy 0.458 0.458 0.625
H 0.792 0.792 0.625
I 0.043 0.043 0.881
I 0.207 0.207 0.369